A relaxed Rb4Np3PdSe8 crystal. Source: Alexandria via LeMat-Bulk, functional PBE-GGA.

The structure belongs to space group C2/m (No. 12); the cell edges are 14.577, 8.416 and 9.348 Å and the angles 90.00°, 121.36° and 90.00°. The asymmetric unit holds Rb at (0.000, 0.000, 0.000), Rb at (0.000, 0.500, 0.000), Rb at (0.250, 0.250, 0.000), Np at (0.000, 0.000, 0.500), Np at (0.250, 0.250, 0.500), Pd at (0.000, 0.500, 0.500), Se at (0.020, 0.249, 0.309), Se at (0.230, 0.500, 0.690) and Se at (0.233, 0.000, 0.698).

The value obtained for the electronic total energy is -5.809 eV per atom. As for the formation energy without anion corrections: -1658 kJ/mol of formula units.



A relaxed NaPrYAl crystal. Source: Alexandria via LeMat-Bulk, functional PBE-GGA.

The structure belongs to space group F-43m (No. 216); the cell edges are 7.623, 7.623 and 7.623 Å and the angles 90.00°, 90.00° and 90.00°. The asymmetric unit holds Na at (0.000, 0.000, 0.000), Pr at (0.250, 0.250, 0.750), Y at (0.250, 0.250, 0.250) and Al at (0.000, 0.000, 0.500).

As for the energy relative to the elements: -0.064 eV/atom. The value obtained for the electronic total energy is -4.140 eV per atom.



A relaxed PrNd6Sm3Ho2 crystal. Source: Alexandria via LeMat-Bulk, functional PBE-GGA.

The structure belongs to space group C2/m (No. 12); the cell edges are 6.320, 10.946 and 12.056 Å and the angles 90.00°, 100.08° and 90.00°. The asymmetric unit holds Pr at (0.000, 0.000, 0.000), Nd at (0.249, 0.333, 0.751), Nd at (0.249, 0.500, 0.249), Sm at (0.000, 0.167, 0.500), Sm at (0.000, 0.500, 0.500) and Ho at (0.000, 0.333, 0.000).

As for the energy relative to the elements: 0.014 eV/atom. The value obtained for the electronic total energy is -4.711 eV per atom.



A relaxed RbSrIn2Cl8 crystal. Source: Alexandria via LeMat-Bulk, functional PBE-GGA.

The structure belongs to space group R-3 (No. 148, hexagonal axes); the cell edges are 7.0167, 7.0167 and 28.8084 Å and the angles 90.00°, 90.00° and 120.00°. The asymmetric unit holds Rb at (0.0000, 0.0000, 0.0000), Sr at (0.0000, 0.0000, 0.5000), In at (0.0000, 0.0000, 0.2479), Cl at (0.0000, 0.0000, 0.3324) and Cl at (0.0030, 0.6912, 0.1083).

The value obtained for the electronic total energy is -3.363 eV per atom. As for the formation energy without anion corrections: -1684 kJ/mol of formula units.



A relaxed PaSe3O12 crystal. Source: Alexandria via LeMat-Bulk, functional PBE-GGA.

The structure belongs to space group R3c (No. 161, hexagonal axes); the cell edges are 8.6752, 8.6752 and 25.0894 Å and the angles 90.00°, 90.00° and 120.00°. The asymmetric unit holds Pa at (0.0000, 0.0000, 0.0000), Se at (0.0370, 0.3490, 0.0578), O at (0.0009, 0.4827, 0.6713), O at (0.1907, 0.4446, 0.1078), O at (0.1923, 0.4037, 0.3805) and O at (0.2067, 0.4509, 0.7365).

The value obtained for the electronic total energy is -5.985 eV per atom. As for the formation energy without anion corrections: -1574 kJ/mol of formula units.



A relaxed Sm3TmIn12 crystal. Source: Alexandria via LeMat-Bulk, functional PBE-GGA.

The structure belongs to space group P4/mmm (No. 123); the cell edges are 4.665, 4.665 and 18.737 Å and the angles 90.00°, 90.00° and 90.00°. The asymmetric unit holds Sm at (0.000, 0.000, 0.000), Sm at (0.000, 0.000, 0.252), Tm at (0.000, 0.000, 0.500), In at (0.000, 0.500, 0.126), In at (0.000, 0.500, 0.378), In at (0.500, 0.500, 0.000), In at (0.500, 0.500, 0.251) and In at (0.500, 0.500, 0.500).

As for the energy relative to the elements: -0.430 eV/atom. The value obtained for the electronic total energy is -3.648 eV per atom.